An optimized crystal structure of NiINO2. Source: Alexandria via LeMat-Bulk, functional PBE with a Hubbard U.

The total energy comes out at -14.798 eV/cell. As for the density: 5.76 g/cm3.

The structure belongs to space group P4/mmm (No. 123); the cell edges are 3.976, 3.976 and 4.224 Å and the angles 90.00°, 90.00° and 90.00°. The distinct sites, in fractional coordinates, are Ni at (0.000, 0.000, 0.000), I at (0.500, 0.500, 0.000), N at (0.500, 0.500, 0.500) and O at (0.000, 0.500, 0.500).